Computed, not measured: a relaxed LaTb2ErSe6 crystal at the GGA-PBE level of DFT.

extended XYZ file:
```
10
Lattice="-2.275 -2.933 6.314 -0.931 -7.244 0.549 5.114 -4.042 4.214" Properties=species:S:1:pos:R:3 pbc="T T T"
Se 2.266 -9.416 6.039
Se -1.392 -8.100 7.189
Se -0.323 -4.410 5.001
Se -0.101 -8.327 2.967
Se 2.065 -6.123 7.795
Se 3.161 -6.274 4.225
Er -0.800 -3.420 2.371
Tb 0.632 -7.075 5.438
Tb 4.886 -4.018 4.143
La 0.305 -10.545 7.956
```



Computed, not measured: a relaxed La4TbEr3Se8 crystal at the GGA-PBE level of DFT.

extended XYZ file:
```
16
Lattice="-3.678 3.952 6.274 -6.682 1.605 -4.927 2.543 -7.817 0.955" Properties=species:S:1:pos:R:3 pbc="T T T"
Er -3.908 -1.130 1.151
Er -2.069 -3.106 -1.986
Er -5.180 2.778 0.673
Se -1.463 -2.573 0.763
Se -4.553 3.299 3.419
Se -4.524 -1.684 -1.591
Se -3.262 -5.560 -1.117
Se -5.086 -3.601 1.994
Se -6.353 0.312 1.539
Se -3.292 -0.577 3.893
Se -2.730 1.340 0.308
Tb -3.341 0.802 -2.464
La -0.567 -1.933 3.615
La 0.000 0.000 0.000
La -1.839 1.976 3.137
La 1.272 -3.909 0.478
```



Computed, not measured: a relaxed La3Tb2ErSe6 crystal at the GGA-PBE level of DFT.

extended XYZ file:
```
12
Lattice="-6.769 1.085 2.232 3.104 -6.452 0.849 3.598 3.758 5.208" Properties=species:S:1:pos:R:3 pbc="T T T"
Tb -3.478 -1.427 1.771
Tb -0.188 -3.939 1.310
Se 1.617 -2.421 6.117
Se -1.905 -3.140 3.511
Se -1.684 0.812 2.171
Se 1.838 1.531 4.777
Se -1.639 0.065 6.573
Se 1.571 -1.673 1.715
La 3.239 -3.303 3.686
La -3.306 1.694 4.603
La -0.034 -0.804 4.144
Er 0.000 0.000 0.000
```



Computed, not measured: a relaxed LaTbErSe3 crystal at the GGA-PBE level of DFT.

extended XYZ file:
```
12
Lattice="4.121 0.000 0.000 0.000 7.997 -0.173 0.000 -2.260 10.029" Properties=species:S:1:pos:R:3 pbc="T T T"
Se 3.091 0.646 4.447
Se 3.091 3.428 1.899
Se 1.030 -1.316 8.867
Se 1.030 2.310 7.956
Se 1.030 5.092 5.409
Se 3.091 7.054 0.989
Tb 3.091 0.592 9.071
Tb 1.030 5.146 0.784
Er 3.091 5.806 3.654
Er 1.030 -0.068 6.202
La 3.091 4.703 7.739
La 1.030 1.034 2.117
```



Computed, not measured: a relaxed LaTbEr2Se6 crystal at the GGA-PBE level of DFT.

extended XYZ file:
```
10
Lattice="-2.759 -5.211 -4.306 4.238 -5.506 -2.242 -1.191 -6.995 3.038" Properties=species:S:1:pos:R:3 pbc="T T T"
Se 0.366 -8.067 0.803
Se -0.189 -9.847 -4.548
Se -1.020 -6.192 -2.421
Se 2.925 -7.917 -2.279
Se -2.313 -9.781 -1.184
Se 1.136 -11.245 -1.032
Er 0.222 -8.696 -1.999
Er -1.133 -6.877 2.858
Tb 0.409 -3.742 -1.924
La 0.515 -12.675 -3.561
```



Computed, not measured: a relaxed La3TbEr2Se6 crystal at the GGA-PBE level of DFT.

extended XYZ file:
```
12
Lattice="7.173 -0.011 -0.002 -3.595 6.208 -0.002 -1.196 -2.071 6.982" Properties=species:S:1:pos:R:3 pbc="T T T"
Se 2.372 4.107 1.588
Se 3.595 2.036 5.377
Se 2.416 -0.006 1.601
Se 0.011 0.019 5.390
Se -1.212 2.089 1.601
Se -0.033 4.131 5.377
Er -0.006 4.135 -0.002
Er 3.584 2.062 -0.002
La 4.800 -0.021 3.489
La 1.191 2.063 3.489
La -2.417 4.147 3.489
Tb 0.000 0.000 0.000
```



Computed, not measured: a relaxed La3TbEr3Se8 crystal at the GGA-PBE level of DFT.

extended XYZ file:
```
15
Lattice="-3.849 -1.906 7.033 -1.339 -4.493 -6.778 7.410 -0.545 3.909" Properties=species:S:1:pos:R:3 pbc="T T T"
Se -0.943 -1.640 6.219
Se 3.165 -5.304 -2.056
Se -1.596 -3.829 2.917
Se 3.818 -3.115 1.246
Se 0.333 -2.948 -0.617
Se 0.932 -0.712 2.793
Se 1.290 -6.232 1.369
Se 1.889 -3.995 4.779
La -0.669 -2.247 -3.389
La 0.000 0.000 0.000
La -2.594 -3.199 0.127
Er 1.780 -1.225 5.471
Er 1.111 -3.472 2.081
Er 3.036 -2.519 -1.435
Tb 3.705 -0.272 1.954
```



Computed, not measured: a relaxed LaTb2ErSe4 crystal at the GGA-PBE level of DFT.

extended XYZ file:
```
8
Lattice="-0.779 3.997 -0.247 -5.719 -1.365 -4.034 -5.775 -0.857 4.341" Properties=species:S:1:pos:R:3 pbc="T T T"
Se -6.089 1.024 2.086
Se -8.594 -1.667 0.135
Se -3.679 3.443 -0.075
Se -6.184 0.751 -2.026
La -3.249 1.316 -2.141
Tb -3.277 1.570 2.047
Tb -5.775 -0.857 4.341
Er -5.747 -1.111 0.154
```



Summary of uncorrected formation energy in eV/atom
-1.88; -1.86; -1.88; -1.67; -1.88; -1.87; -1.90; -1.80
(order as listed above)